Material: Sc3Zn
Method: DFT, GGA-PBEsol
State: optimized geometry

Results
D(E_F), states/eV/f.u.: 5.47
DFT formation energy, eV per atom: -0.16
Energy, eV/atom: -5.51

Unit cell a=3.235 b=3.235 c=7.997 alpha=90.00 beta=90.00 gamma=90.00
Element x y z (fractional)
Sc (0.000, 0.000, 0.000)
Sc (0.500, 0.500, 0.287)
Sc (0.500, 0.500, 0.713)
Zn (0.000, 0.000, 0.500)